A relaxed ScHgI3 crystal. Source: Alexandria via LeMat-Bulk, functional PBE.

Unit cell a=4.9594 b=4.9594 c=10.6735 alpha=90.00 beta=90.00 gamma=90.00
Closest atoms and distances in Å follow each position.
Fractional positions:
Sc (0.5000, 0.5000, 0.7703)  4 I 2.89
Hg (0.0000, 0.0000, 0.3005)  5 I 3.95-4.31
I (0.0000, 0.0000, 0.9307)  4 Sc 3.90, 1 Hg 3.95, 4 I 4.05
I (0.5000, 0.0000, 0.6311)  2 Sc 2.89
I (0.0000, 0.5000, 0.6311)  2 Sc 2.89

- Fermi-level density of states (states/eV/f.u.) = 0.2
- E_form (uncorrected) (kJ/mol of atoms) = -45.1
- distance to the lowest polymorph of the same formula (kcal/mol of atoms) = 11.64